# 1
First-principles (PBE-GGA) data for an optimized crystal structure of Mg4Co, as listed in Alexandria.

The structure in POSCAR format:
```
Mg4Co
1.0
-1.8634 1.8634 7.7938
1.8634 -1.8634 7.7938
1.8634 1.8634 -7.7938
Mg Co
4 1
Direct
0.7500 0.2500 0.5000
0.4130 0.4130 0.0000
0.2500 0.7500 0.5000
0.5870 0.5870 0.0000
0.0000 0.0000 0.0000
```

Values from the calculation:
**Volume**: 21.65 Å³/atom

---

# 2
First-principles (PBE-GGA) data for an optimized crystal structure of SmTm6Tl6, as listed in Alexandria.

The structure in POSCAR format:
```
SmTm6Tl6
1.0
-4.6341 3.9123 1.9733
-0.8038 -6.3181 0.3309
4.0794 -0.0157 9.6109
Tm Tl Sm
6 6 1
Direct
0.0000 0.0000 0.6606
0.3334 0.6666 0.5000
0.3333 0.6667 0.0000
0.6667 0.3333 0.0000
0.0000 0.0000 0.3394
0.6666 0.3334 0.5000
0.0000 0.5000 0.2458
0.5000 0.5000 0.2457
0.5000 0.0000 0.7542
0.5000 0.5000 0.7543
0.0000 0.5000 0.7542
0.5000 0.0000 0.2458
0.0000 0.0000 0.0000
```

Values from the calculation:
**Volume**: 28.29 Å³/atom

---

| no. | ΔE_f (eV per atom) | uncorrected energy (eV per atom) | total magnetic moment (μB per formula unit) |
| --- | --- | --- | --- |
| 1 | 0.5433 | -2.15 | 1.41 |
| 2 | -0.1559 | -3.67 | 1.10 |